# Mn3AsF

Crystalline Mn3AsF at its relaxed geometry (GGA+U, Alexandria).

Calculated values
DFT total energy in eV per atom: -5.88

a b c (Å): 4.519 4.519 4.519
angles (deg): 90.00 90.00 90.00
Space group Pm-3m (No. 221)
Inequivalent atoms, fractional coordinates:
Mn (0.000, 0.000, 0.500) [3 per cell]
As (0.500, 0.500, 0.500) [1 per cell]
F (0.000, 0.000, 0.000) [1 per cell]